1.
# Pr5Sm2DyHo

Pr5Sm2DyHo after structural relaxation (PBE-GGA, the Alexandria database).

Cell and atoms, written as extended XYZ:
```
18
Lattice="-5.580 -3.732 5.512 6.644 -3.558 4.317 -0.143 10.389 0.045" Properties=species:S:1:pos:R:3 pbc="T T T"
Dy 0.726 -0.273 7.394
Dy 0.194 3.372 2.480
Sm 3.725 -4.542 5.883
Sm 1.842 -1.800 2.303
Sm -0.778 -5.490 7.526
Sm -2.661 -2.749 3.946
Ho -2.596 1.506 5.236
Ho 3.516 1.593 4.639
Pr -0.058 0.093 3.913
Pr -2.375 -2.026 6.976
Pr 3.661 -1.421 5.680
Pr 0.532 -3.645 4.914
Pr 0.979 3.006 5.961
Pr -0.422 6.639 1.132
Pr 3.296 5.125 2.899
Pr -2.740 4.520 4.195
Pr 0.000 0.000 0.000
Pr 1.343 -3.540 8.743
```

Computed properties:
Energy of formation from the pure elements in eV/atom: 0.285
SG: I4/mcm

=====

2.
# Pr2Sm5DyHo

Pr2Sm5DyHo after structural relaxation (PBE-GGA, the Alexandria database).

Cell and atoms, written as extended XYZ:
```
18
Lattice="-5.681 -2.012 -6.216 6.224 -4.171 -4.338 -2.150 -3.826 9.233" Properties=species:S:1:pos:R:3 pbc="T T T"
Dy -0.939 -3.459 1.978
Dy -0.667 -6.550 -3.299
Ho -3.779 -4.465 -1.130
Ho 2.173 -5.544 -0.191
Sm 0.272 -3.092 -5.277
Sm 2.694 -5.391 -3.315
Sm -4.300 -4.618 1.994
Sm -3.221 -4.739 -4.982
Sm -1.889 -3.324 5.401
Sm -0.796 -6.564 0.254
Sm 0.000 0.000 0.000
Sm 1.615 -5.270 3.661
Sm -0.811 -3.445 -1.575
Sm 0.283 -6.685 -6.722
Pr 1.678 -1.825 -2.395
Pr 3.318 -4.432 -6.174
Pr -2.775 -1.751 -4.380
Pr -1.134 -4.358 -8.159
```

Computed properties:
Energy of formation from the pure elements in eV/atom: 0.271
SG: I4/mcm

=====

3.
# Pr2SmDy2Ho2

Pr2SmDy2Ho2 after structural relaxation (PBE-GGA, the Alexandria database).

Cell and atoms, written as extended XYZ:
```
7
Lattice="3.535 0.000 0.000 -1.767 5.704 1.521 0.000 0.837 11.871" Properties=species:S:1:pos:R:3 pbc="T T T"
Pr 0.000 3.816 2.007
Pr 1.767 2.724 11.385
Sm 0.000 0.418 5.935
Ho 1.767 0.759 2.882
Ho 0.000 5.781 10.510
Dy 0.000 3.107 8.237
Dy 1.767 3.433 5.155
```

Computed properties:
Energy of formation from the pure elements in eV/atom: 0.086
SG: C2/m

=====

4.
# Pr2Sm3DyHo6

Pr2Sm3DyHo6 after structural relaxation (PBE-GGA, the Alexandria database).

Cell and atoms, written as extended XYZ:
```
12
Lattice="6.213 0.000 0.008 -3.105 5.382 0.008 -1.046 -1.812 11.625" Properties=species:S:1:pos:R:3 pbc="T T T"
Ho -1.035 1.788 2.919
Ho -0.011 -0.019 8.710
Ho 3.097 1.783 8.722
Ho 2.073 3.589 2.931
Ho -0.003 3.573 8.722
Ho 2.065 -0.003 2.919
Dy 0.000 0.000 0.000
Sm 4.137 -0.008 5.821
Sm -2.075 3.579 5.821
Sm 1.031 1.785 5.821
Pr 3.106 1.795 0.008
Pr 0.002 3.587 0.008
```

Computed properties:
Energy of formation from the pure elements in eV/atom: 0.015
SG: C2/m